A plane-wave DFT calculation with PBE with a Hubbard U was carried out for crystalline LiErVF6 at its relaxed geometry.

Crystal system = tetragonal
Total energy = -0.453 Ry per atom
Fermi-level density of states = 0.00 states/eV/f.u.

Cell: 4.962 4.962 9.854 Å, 90.00 90.00 90.00°
Space group P4_2nm (No. 102)
Unique sites:
Li 0.000 0.000 0.000
Er 0.000 0.000 0.335
V 0.000 0.000 0.669
F 0.191 0.191 0.836
F 0.198 0.198 0.167
F 0.200 0.200 0.504